A plane-wave DFT calculation with PBEsol was carried out for an optimized crystal structure of Cr3BiC.

Calculated values
calculated volume = 27.165 Å³ per atom
mass density = 4.6 g/cm³
E = -6.126 eV/atom

abc: 5.1404 5.1404 5.1404
angles: 90.00 90.00 90.00
Atoms (fractional coordinates):
Cr: 0.0000 0.0000 0.5000
Cr: 0.0000 0.5000 0.0000
Cr: 0.5000 0.0000 0.0000
Bi: 0.0000 0.0000 0.0000
C: 0.5000 0.5000 0.5000